An optimized crystal structure of Zn2NiI. Source: Alexandria via LeMat-Bulk, functional PBEsol.

The value obtained for the total DFT energy (no corrections) is -32.332 eV/cell. For the formation energy (no corrections), the calculation gives 751 meV per atom.

It has space group Fm-3m (No. 225), with a = 6.558 Å, b = 6.558 Å, c = 6.558 Å, α = 90.00°, β = 90.00° and γ = 90.00°. The distinct sites, in fractional coordinates, are Zn at (0.250, 0.250, 0.250), Ni at (0.000, 0.000, 0.000) and I at (0.000, 0.000, 0.500).

An optimized crystal structure of NpI3. Source: Alexandria via LeMat-Bulk, functional PBEsol.

The value obtained for the total DFT energy (no corrections) is -87.909 eV/cell. For the formation energy (no corrections), the calculation gives -707 meV per atom.

It has space group Cmcm (No. 63), with a = 4.126 Å, b = 14.173 Å, c = 9.691 Å, α = 90.00°, β = 90.00° and γ = 90.00°. The distinct sites, in fractional coordinates, are Np at (0.000, 0.237, 0.250), I at (0.000, 0.149, 0.566) and I at (0.000, 0.421, 0.750).

An optimized crystal structure of NpIO5. Source: Alexandria via LeMat-Bulk, functional PBEsol.

The value obtained for the total DFT energy (no corrections) is -210.761 eV/cell. For the formation energy (no corrections), the calculation gives -1547 meV per atom.

It has space group Pna2_1 (No. 33), with a = 13.675 Å, b = 5.995 Å, c = 5.442 Å, α = 90.00°, β = 90.00° and γ = 90.00°. The distinct sites, in fractional coordinates, are Np at (0.030, 0.249, 0.000), I at (0.216, 0.514, 0.490), O at (0.011, 0.008, 0.788), O at (0.049, 0.489, 0.233), O at (0.139, 0.749, 0.584), O at (0.173, 0.313, 0.721) and O at (0.176, 0.106, 0.159).

An optimized crystal structure of IO3. Source: Alexandria via LeMat-Bulk, functional PBEsol.

The value obtained for the total DFT energy (no corrections) is -72.348 eV/cell. For the formation energy (no corrections), the calculation gives -143 meV per atom.

It has space group P-1 (No. 2), with a = 5.187 Å, b = 6.731 Å, c = 6.794 Å, α = 98.37°, β = 95.00° and γ = 106.34°. The distinct sites, in fractional coordinates, are I at (0.004, 0.172, 0.173), I at (0.195, 0.346, 0.720), O at (0.154, 0.703, 0.348), O at (0.200, 0.044, 0.696), O at (0.210, 0.372, 0.023), O at (0.218, 0.985, 0.082), O at (0.251, 0.687, 0.791) and O at (0.260, 0.300, 0.394).

An optimized crystal structure of I3O8. Source: Alexandria via LeMat-Bulk, functional PBEsol.

The value obtained for the total DFT energy (no corrections) is -196.755 eV/cell. For the formation energy (no corrections), the calculation gives -172 meV per atom.

It has space group P2_1/c (No. 14), with a = 7.496 Å, b = 7.215 Å, c = 13.839 Å, α = 90.00°, β = 121.70° and γ = 90.00°. The distinct sites, in fractional coordinates, are I at (0.067, 0.209, 0.392), I at (0.135, 0.716, 0.404), I at (0.432, 0.064, 0.166), O at (0.041, 0.546, 0.622), O at (0.053, 0.196, 0.561), O at (0.094, 0.246, 0.262), O at (0.247, 0.552, 0.914), O at (0.304, 0.604, 0.313), O at (0.332, 0.210, 0.988), O at (0.360, 0.658, 0.575) and O at (0.468, 0.075, 0.707).

An optimized crystal structure of I2O5. Source: Alexandria via LeMat-Bulk, functional PBEsol.

The value obtained for the total DFT energy (no corrections) is -127.444 eV/cell. For the formation energy (no corrections), the calculation gives -297 meV per atom.

It has space group P2_1/c (No. 14), with a = 10.819 Å, b = 5.034 Å, c = 7.996 Å, α = 90.00°, β = 107.82° and γ = 90.00°. The distinct sites, in fractional coordinates, are I at (0.126, 0.129, 0.212), I at (0.374, 0.660, 0.152), O at (0.009, 0.650, 0.652), O at (0.196, 0.041, 0.441), O at (0.250, 0.536, 0.619), O at (0.308, 0.018, 0.800) and O at (0.494, 0.661, 0.841).

An optimized crystal structure of OsPtI2O. Source: Alexandria via LeMat-Bulk, functional PBEsol.

The value obtained for the total DFT energy (no corrections) is -22.362 eV/cell. For the formation energy (no corrections), the calculation gives 1120 meV per atom.

It has space group P4/mmm (No. 123), with a = 5.356 Å, b = 5.356 Å, c = 3.645 Å, α = 90.00°, β = 90.00° and γ = 90.00°. The distinct sites, in fractional coordinates, are Os at (0.000, 0.000, 0.000), Pt at (0.500, 0.500, 0.500), I at (0.000, 0.500, 0.500) and O at (0.500, 0.500, 0.000).

An optimized crystal structure of OsSI2O. Source: Alexandria via LeMat-Bulk, functional PBEsol.

The value obtained for the total DFT energy (no corrections) is -20.236 eV/cell. For the formation energy (no corrections), the calculation gives 1029 meV per atom.

It has space group P4/mmm (No. 123), with a = 5.221 Å, b = 5.221 Å, c = 3.388 Å, α = 90.00°, β = 90.00° and γ = 90.00°. The distinct sites, in fractional coordinates, are Os at (0.000, 0.000, 0.000), S at (0.500, 0.500, 0.500), I at (0.000, 0.500, 0.500) and O at (0.500, 0.500, 0.000).

An optimized crystal structure of SbOsIO2. Source: Alexandria via LeMat-Bulk, functional PBEsol.

The value obtained for the total DFT energy (no corrections) is -30.030 eV/cell. For the formation energy (no corrections), the calculation gives -198 meV per atom.

It has space group P4/mmm (No. 123), with a = 3.963 Å, b = 3.963 Å, c = 5.622 Å, α = 90.00°, β = 90.00° and γ = 90.00°. The distinct sites, in fractional coordinates, are Sb at (0.000, 0.000, 0.000), Os at (0.000, 0.000, 0.500), I at (0.500, 0.500, 0.000) and O at (0.000, 0.500, 0.500).

An optimized crystal structure of TiOsIO2. Source: Alexandria via LeMat-Bulk, functional PBEsol.

The value obtained for the total DFT energy (no corrections) is -34.700 eV/cell. For the formation energy (no corrections), the calculation gives -379 meV per atom.

It has space group P4/mmm (No. 123), with a = 3.769 Å, b = 3.769 Å, c = 5.971 Å, α = 90.00°, β = 90.00° and γ = 90.00°. The distinct sites, in fractional coordinates, are Ti at (0.000, 0.000, 0.000), Os at (0.500, 0.500, 0.500), I at (0.000, 0.000, 0.500) and O at (0.000, 0.500, 0.000).

An optimized crystal structure of OsWI2O. Source: Alexandria via LeMat-Bulk, functional PBEsol.

The value obtained for the total DFT energy (no corrections) is -29.642 eV/cell. For the formation energy (no corrections), the calculation gives 1033 meV per atom.

It has space group P4/mmm (No. 123), with a = 5.422 Å, b = 5.422 Å, c = 3.638 Å, α = 90.00°, β = 90.00° and γ = 90.00°. The distinct sites, in fractional coordinates, are Os at (0.000, 0.000, 0.000), W at (0.500, 0.500, 0.500), I at (0.000, 0.500, 0.000) and O at (0.000, 0.000, 0.500).

An optimized crystal structure of ZnOsIO2. Source: Alexandria via LeMat-Bulk, functional PBEsol.

The value obtained for the total DFT energy (no corrections) is -27.496 eV/cell. For the formation energy (no corrections), the calculation gives -287 meV per atom.

It has space group P4/mmm (No. 123), with a = 3.748 Å, b = 3.748 Å, c = 7.816 Å, α = 90.00°, β = 90.00° and γ = 90.00°. The distinct sites, in fractional coordinates, are Zn at (0.000, 0.000, 0.000), Os at (0.500, 0.500, 0.500), I at (0.500, 0.500, 0.000) and O at (0.000, 0.500, 0.500).

An optimized crystal structure of ZrOsI2O. Source: Alexandria via LeMat-Bulk, functional PBEsol.

The value obtained for the total DFT energy (no corrections) is -29.363 eV/cell. For the formation energy (no corrections), the calculation gives 145 meV per atom.

It has space group P4/mmm (No. 123), with a = 5.504 Å, b = 5.504 Å, c = 3.670 Å, α = 90.00°, β = 90.00° and γ = 90.00°. The distinct sites, in fractional coordinates, are Zr at (0.000, 0.000, 0.000), Os at (0.500, 0.500, 0.500), I at (0.000, 0.500, 0.500) and O at (0.500, 0.500, 0.000).

An optimized crystal structure of P3Pb5IO12. Source: Alexandria via LeMat-Bulk, functional PBEsol.

The value obtained for the total DFT energy (no corrections) is -279.869 eV/cell. For the formation energy (no corrections), the calculation gives -1800 meV per atom.

It has space group P6_3/m (No. 176), with a = 10.2275 Å, b = 10.2275 Å, c = 7.3071 Å, α = 90.00°, β = 90.00° and γ = 120.00°. The distinct sites, in fractional coordinates, are P at (0.0423, 0.6262, 0.2500), Pb at (0.0134, 0.2728, 0.2500), Pb at (0.3333, 0.6667, 0.5067), I at (0.0000, 0.0000, 0.0000), O at (0.0967, 0.7298, 0.0781), O at (0.1282, 0.4878, 0.7500) and O at (0.1344, 0.5394, 0.2500).

An optimized crystal structure of PPdIO2. Source: Alexandria via LeMat-Bulk, functional PBEsol.

The value obtained for the total DFT energy (no corrections) is -25.662 eV/cell. For the formation energy (no corrections), the calculation gives -329 meV per atom.

It has space group P4/mmm (No. 123), with a = 3.581 Å, b = 3.581 Å, c = 5.868 Å, α = 90.00°, β = 90.00° and γ = 90.00°. The distinct sites, in fractional coordinates, are P at (0.000, 0.000, 0.000), Pd at (0.500, 0.500, 0.500), I at (0.000, 0.000, 0.500) and O at (0.000, 0.500, 0.000).

An optimized crystal structure of RbPI2O. Source: Alexandria via LeMat-Bulk, functional PBEsol.

The value obtained for the total DFT energy (no corrections) is -10.721 eV/cell. For the formation energy (no corrections), the calculation gives 976 meV per atom.

It has space group P4/mmm (No. 123), with a = 6.464 Å, b = 6.464 Å, c = 4.195 Å, α = 90.00°, β = 90.00° and γ = 90.00°. The distinct sites, in fractional coordinates, are Rb at (0.000, 0.000, 0.000), P at (0.500, 0.500, 0.500), I at (0.000, 0.500, 0.000) and O at (0.000, 0.000, 0.500).

An optimized crystal structure of RePI2O. Source: Alexandria via LeMat-Bulk, functional PBEsol.

The value obtained for the total DFT energy (no corrections) is -26.245 eV/cell. For the formation energy (no corrections), the calculation gives 332 meV per atom.

It has space group P4/mmm (No. 123), with a = 5.391 Å, b = 5.391 Å, c = 3.722 Å, α = 90.00°, β = 90.00° and γ = 90.00°. The distinct sites, in fractional coordinates, are Re at (0.000, 0.000, 0.000), P at (0.500, 0.500, 0.500), I at (0.000, 0.500, 0.000) and O at (0.000, 0.000, 0.500).

An optimized crystal structure of PRhI2O. Source: Alexandria via LeMat-Bulk, functional PBEsol.

The value obtained for the total DFT energy (no corrections) is -21.633 eV/cell. For the formation energy (no corrections), the calculation gives 216 meV per atom.

It has space group P4/mmm (No. 123), with a = 5.280 Å, b = 5.280 Å, c = 3.407 Å, α = 90.00°, β = 90.00° and γ = 90.00°. The distinct sites, in fractional coordinates, are P at (0.000, 0.000, 0.000), Rh at (0.500, 0.500, 0.500), I at (0.000, 0.500, 0.000) and O at (0.000, 0.000, 0.500).

An optimized crystal structure of P2RuIO. Source: Alexandria via LeMat-Bulk, functional PBEsol.

The value obtained for the total DFT energy (no corrections) is -17.051 eV/cell. For the formation energy (no corrections), the calculation gives 2344 meV per atom.

It has space group P4/mmm (No. 123), with a = 5.080 Å, b = 5.080 Å, c = 4.807 Å, α = 90.00°, β = 90.00° and γ = 90.00°. The distinct sites, in fractional coordinates, are P at (0.000, 0.500, 0.000), Ru at (0.000, 0.000, 0.500), I at (0.000, 0.000, 0.000) and O at (0.500, 0.500, 0.500).

An optimized crystal structure of PRuI2O. Source: Alexandria via LeMat-Bulk, functional PBEsol.

The value obtained for the total DFT energy (no corrections) is -22.543 eV/cell. For the formation energy (no corrections), the calculation gives 441 meV per atom.

It has space group P4/mmm (No. 123), with a = 5.229 Å, b = 5.229 Å, c = 3.382 Å, α = 90.00°, β = 90.00° and γ = 90.00°. The distinct sites, in fractional coordinates, are P at (0.000, 0.000, 0.000), Ru at (0.500, 0.500, 0.500), I at (0.000, 0.500, 0.000) and O at (0.000, 0.000, 0.500).

An optimized crystal structure of P2RuIO. Source: Alexandria via LeMat-Bulk, functional PBEsol.

The value obtained for the total DFT energy (no corrections) is -28.251 eV/cell. For the formation energy (no corrections), the calculation gives 104 meV per atom.

It has space group P4/mmm (No. 123), with a = 4.792 Å, b = 4.792 Å, c = 3.699 Å, α = 90.00°, β = 90.00° and γ = 90.00°. The distinct sites, in fractional coordinates, are P at (0.000, 0.500, 0.000), Ru at (0.000, 0.000, 0.000), I at (0.500, 0.500, 0.500) and O at (0.000, 0.000, 0.500).